A plane-wave DFT calculation with PBE-GGA was carried out for a geometry-optimized Pm4PaS5 structure.

a b c (Å): 3.9729 5.6535 20.1771
angles (deg): 90.00 90.00 90.00
Space group Immm (No. 71)
Inequivalent atoms, fractional coordinates:
Pm 0.0000 0.0000 0.0992
Pm 0.0000 0.0000 0.3057
Pa 0.0000 0.0000 0.5000
S 0.0000 0.5000 0.0958
S 0.0000 0.5000 0.2977
S 0.0000 0.5000 0.5000

Computed properties:
Spin magnetization ... 0.00 Bohr magnetons per cell
E_form (uncorrected) ... -19.40 eV per formula unit
VASP energy ... -137.1 eV per cell